A geometry-optimized KMg2Pt structure. Source: Alexandria, functional PBE.

The structure in POSCAR format:
```
KMg2Pt
1.0
-2.151 1.255 -1.865
-3.806 -3.581 1.980
-3.935 0.854 5.114
K Mg Pt
1 2 1
direct
0.000 0.000 0.500
0.000 0.000 0.000
0.500 0.500 0.000
0.500 0.500 0.500
```

Properties
- SG: P2/m
- Calculated volume: 22.504 Å³ per atom
- Total magnetic moment: 0.0 μB/f.u.
- DFT formation energy: 0.14 eV/atom